# PBE-GGA Dy2InGa2Pt5, optimized geometry
# Crystal system ... tetragonal
# Formation enthalpy at 0 K ... -0.86 eV/atom
# Total magnetization ... 0.0 μB per cell
# Calculated density ... 14.1 g/cm³
data_Dy2InGa2Pt5
_space_group_name_H-M_alt 'P 4/m b m'
_space_group_IT_number 127
_space_group_name_Hall '-P 4 2ab'
_cell_length_a 9.7949
_cell_length_b 9.7949
_cell_length_c 3.8298
_cell_angle_alpha 90.00
_cell_angle_beta 90.00
_cell_angle_gamma 90.00
loop_
_atom_site_label
_atom_site_fract_x
_atom_site_fract_y
_atom_site_fract_z
_atom_site_occupancy
Dy1 0.1759 0.3241 0.0000 1
In1 0.0000 0.0000 0.0000 1
Ga1 0.1224 0.6224 0.0000 1
Pt1 0.0000 0.5000 0.5000 1
Pt2 0.0649 0.7900 0.5000 1